1.
Entry from the Alexandria database: an optimized crystal structure of Tb5Pm2Mg (GGA-PBE).

Lattice parameters (Å, degrees): 7.055 7.055 7.093 119.82 119.82 90.00
Fractional positions:
Tb  0.722  0.222  0.944
Tb  0.222  0.222  0.944
Tb  0.722  0.722  0.944
Tb  0.222  0.722  0.944
Tb  0.722  0.722  0.445
Pm  0.222  0.722  0.444
Pm  0.722  0.222  0.444
Mg  0.222  0.222  0.444

Properties
Space group: I4/mmm, No. 139
Theoretical density, g cm⁻³: 7.337
Distance to the lowest polymorph of the same formula, meV per atom: 0.0



2.
Entry from the Alexandria database: an optimized crystal structure of Tb2PmMg (GGA-PBE).

Lattice parameters (Å, degrees): 5.552 5.552 5.552 60.00 60.00 60.00
Fractional positions:
Mg  0.500  0.500  0.500
Tb  0.250  0.250  0.250
Tb  0.750  0.750  0.750
Pm  0.000  0.000  0.000

Properties
Space group: Fm-3m, No. 225
Theoretical density, g cm⁻³: 6.683
Distance to the lowest polymorph of the same formula, meV per atom: 105.6



| no. | VASP energy (eV per atom) |
| --- | --- |
| 1 | -4.2702 |
| 2 | -3.8270 |